A plane-wave DFT calculation with PBE was carried out for an optimized crystal structure of YHg3Pb.

Cell lengths 6.701, 7.953, 10.009 Å; angles 90.00, 90.00, 90.00 degrees
Sites, in units of the cell vectors:
Y: 0.750 0.340 0.582
Y: 0.250 0.160 0.082
Y: 0.250 0.660 0.418
Y: 0.750 0.840 0.918
Hg: 0.016 0.844 0.189
Hg: 0.516 0.656 0.689
Hg: 0.984 0.656 0.689
Hg: 0.516 0.156 0.811
Hg: 0.984 0.156 0.811
Hg: 0.484 0.344 0.311
Hg: 0.016 0.344 0.311
Hg: 0.484 0.844 0.189
Hg: 0.750 0.148 0.118
Hg: 0.250 0.352 0.618
Hg: 0.250 0.852 0.882
Hg: 0.750 0.648 0.382
Pb: 0.000 0.000 0.500
Pb: 0.500 0.500 0.000
Pb: 0.000 0.500 0.000
Pb: 0.500 0.000 0.500

polymorph energy (0 for the lowest one)	0.0	meV per atom
D(E_F)	3.060	states/eV/f.u.
calculated total energy	-2.44	eV/atom
ΔH_f (0 K)	-0.22	eV/atom